# Y2Er2O5

Y2Er2O5 after structural relaxation (PBE-GGA, OQMD).

Calculated values
Total energy: -8.050 eV/atom

abc: 3.907 3.907 9.286
angles: 90.00 90.00 90.00
Space group P4/mmm (No. 123)
Symmetry-distinct sites (fractional):
1 Y 0.000 0.000 0.241
2 Er 0.500 0.500 0.000
3 Er 0.500 0.500 0.500
4 O 0.000 0.000 0.500
5 O 0.000 0.500 0.143

***

# Er2Zn2O5

Er2Zn2O5 after structural relaxation (PBE-GGA, OQMD).

Calculated values
Total energy: -5.925 eV/atom

abc: 3.923 3.923 8.517
angles: 90.00 90.00 90.00
Space group P4/mmm (No. 123)
Symmetry-distinct sites (fractional):
1 Er 0.000 0.000 0.244
2 Zn 0.500 0.500 0.000
3 Zn 0.500 0.500 0.500
4 O 0.000 0.000 0.500
5 O 0.000 0.500 0.149

***

# Er2Zn2O5

Er2Zn2O5 after structural relaxation (PBE-GGA, OQMD).

Calculated values
Total energy: -6.209 eV/atom

abc: 3.882 3.882 6.969
angles: 90.00 90.00 90.00
Space group P4/mmm (No. 123)
Symmetry-distinct sites (fractional):
1 Er 0.000 0.000 0.000
2 Er 0.000 0.000 0.500
3 Zn 0.500 0.500 0.223
4 O 0.000 0.500 0.202
5 O 0.500 0.500 0.500

***

# ErZr2O4

ErZr2O4 after structural relaxation (PBE-GGA, OQMD).

Calculated values
Total energy: -8.758 eV/atom

abc: 9.228 9.228 9.228
angles: 90.00 90.00 90.00
Space group Fd-3m (No. 227, origin choice 2)
Symmetry-distinct sites (fractional):
1 Er 0.125 0.125 0.125
2 Zr 0.000 0.000 0.500
3 O 0.006 0.006 0.744